A plane-wave DFT calculation with GGA-PBE was carried out for a geometry-optimized Tb4DyTe7 structure.

Lattice parameters (Å, degrees): 7.4751 7.4751 13.2042 103.58 103.58 33.02
Element x y z (fractional)
Tb1 0.0000 0.0000 0.0000
Tb2 0.1840 0.1840 0.7633
Tb3 0.5859 0.5859 0.3890
Tb4 0.8849 0.8849 0.5756
Dy1 0.7694 0.7694 0.1522
Te1 0.1426 0.1426 0.2257
Te2 0.2240 0.2240 0.5280
Te3 0.3840 0.3840 0.0761
Te4 0.5457 0.5457 0.6242
Te5 0.6279 0.6279 0.9268
Te6 0.8472 0.8472 0.7924
Te7 0.9224 0.9224 0.3587

Summary:
Uncorrected formation energy: -16.6 eV per formula unit
D(E_F): 0.220 states/eV per atom
Crystal system: monoclinic